Computed, not measured: a relaxed structure of BeTl2Re at the GGA-PBE level of DFT.

Unit cell a=3.1459 b=3.1459 c=25.6185 alpha=90.00 beta=90.00 gamma=120.00
Space group R-3m (No. 166, hexagonal axes)
One atom of each set of equivalent atoms:
Be1 0.0000 0.0000 0.0000 x3
Tl1 0.0000 0.0000 0.2557 x6
Re1 0.0000 0.0000 0.5000 x3

Properties
Its density of states at the Fermi level is 2.770 states/eV/f.u. Its energy above the most stable polymorph in this dataset is 431 meV/atom. For the formation energy, the calculation gives 1022.3 meV per atom. The value obtained for the total energy is -16.8 eV/f.u.



Computed, not measured: a relaxed structure of ZrRe2Cl at the GGA-PBE level of DFT.

Unit cell a=3.155 b=4.859 c=8.973 alpha=90.00 beta=90.00 gamma=90.00
Space group Cmmm (No. 65)
One atom of each set of equivalent atoms:
Zr1 0.000 0.000 0.000 x2
Re1 0.000 0.500 0.250 x4
Cl1 0.000 0.000 0.500 x2

Properties
Its density of states at the Fermi level is 4.344 states/eV/f.u. Its energy above the most stable polymorph in this dataset is 703 meV/atom. The value obtained for the total energy is -33.0 eV/f.u. The calculation puts the uncorrected formation energy at 0.578 eV/atom.



Computed, not measured: a relaxed structure of Ac3SnO3 at the GGA-PBE level of DFT.

Unit cell a=15.016 b=4.125 c=13.196 alpha=90.00 beta=119.60 gamma=90.00
Space group C2/m (No. 12)
One atom of each set of equivalent atoms:
Ac1 0.122 0.000 0.441 x4
Ac2 0.125 0.000 0.899 x4
Ac3 0.157 0.500 0.205 x4
Sn1 0.115 0.500 0.673 x4
O1 0.063 0.000 0.196 x4
O2 0.167 0.500 0.016 x4
O3 0.192 0.500 0.407 x4

Properties
Its density of states at the Fermi level is 2.664 states/eV/f.u. The value obtained for the total energy is -49.3 eV/f.u. The calculation puts the uncorrected formation energy at -2.591 eV/atom.



Computed, not measured: a relaxed structure of TaAlGe3 at the GGA-PBE level of DFT.

Unit cell a=5.031 b=5.031 c=5.031 alpha=90.00 beta=90.00 gamma=90.00
Space group Pm-3m (No. 221)
One atom of each set of equivalent atoms:
Ta1 0.000 0.000 0.000 x1
Al1 0.500 0.500 0.500 x1
Ge1 0.000 0.000 0.500 x3

Properties
Its density of states at the Fermi level is 3.051 states/eV/f.u. Its energy above the most stable polymorph in this dataset is 0 meV/atom. For the formation energy, the calculation gives 528.5 meV per atom. The value obtained for the total energy is -26.8 eV/f.u.



Computed, not measured: a relaxed structure of PdRh2Cl at the GGA-PBE level of DFT.

Unit cell a=4.377 b=4.377 c=15.418 alpha=90.00 beta=90.00 gamma=90.00
Space group I-42d (No. 122)
One atom of each set of equivalent atoms:
Pd1 0.000 0.000 0.000 x4
Rh1 0.159 0.250 0.625 x8
Cl1 0.000 0.000 0.500 x4

Properties
Its density of states at the Fermi level is 10.714 states/eV/f.u. Its energy above the most stable polymorph in this dataset is 109 meV/atom. The value obtained for the total energy is -18.7 eV/f.u. The calculation puts the uncorrected formation energy at 0.749 eV/atom.



Computed, not measured: a relaxed structure of MnCdTeN2 at the GGA-PBE level of DFT.

Unit cell a=3.809 b=3.809 c=5.595 alpha=90.00 beta=90.00 gamma=90.00
Space group P4/mmm (No. 123)
One atom of each set of equivalent atoms:
Mn1 0.000 0.000 0.000 x1
Cd1 0.500 0.500 0.500 x1
Te1 0.000 0.000 0.500 x1
N1 0.000 0.500 0.000 x2

Properties
Its density of states at the Fermi level is 2.472 states/eV/f.u. Its energy above the most stable polymorph in this dataset is 0 meV/atom. The value obtained for the total energy is -26.4 eV/f.u. The calculation puts the uncorrected formation energy at 0.704 eV/atom.



Computed, not measured: a relaxed structure of Be5Fe3 at the GGA-PBE level of DFT.

Unit cell a=6.567 b=6.738 c=3.271 alpha=90.00 beta=90.00 gamma=90.00
Space group Cmmm (No. 65)
One atom of each set of equivalent atoms:
Be1 0.000 0.000 0.000 x2
Be2 0.247 0.500 0.500 x4
Be3 0.250 0.250 0.000 x4
Fe1 0.000 0.237 0.500 x4
Fe2 0.000 0.500 0.000 x2

Properties
Its density of states at the Fermi level is 3.334 states/eV/f.u. Its energy above the most stable polymorph in this dataset is 0 meV/atom. For the formation energy, the calculation gives -153.9 meV per atom. The value obtained for the total energy is -45.3 eV/f.u.



Computed, not measured: a relaxed structure of In12Hg3S5 at the GGA-PBE level of DFT.

Unit cell a=17.062 b=17.062 c=17.062 alpha=90.00 beta=90.00 gamma=90.00
Space group Ia-3d (No. 230)
One atom of each set of equivalent atoms:
In1 0.018 0.069 0.655 x96
Hg1 0.000 0.250 0.125 x24
S1 0.000 0.000 0.000 x16
S2 0.000 0.250 0.375 x24

Properties
Its density of states at the Fermi level is 10.943 states/eV/f.u. The value obtained for the total energy is -55.9 eV/f.u. The calculation puts the uncorrected formation energy at -0.076 eV/atom.



Computed, not measured: a relaxed structure of Li2Cu3Cl6 at the GGA-PBE level of DFT.

Unit cell a=11.522 b=6.649 c=14.383 alpha=90.00 beta=105.95 gamma=90.00
Space group C2/c (No. 15)
One atom of each set of equivalent atoms:
Li1 0.086 0.250 0.008 x8
Cu1 0.000 0.016 0.750 x4
Cu2 0.119 0.374 0.751 x8
Cl1 0.046 0.059 0.399 x8
Cl2 0.105 0.412 0.602 x8
Cl3 0.206 0.405 0.900 x8

Properties
Its density of states at the Fermi level is 13.447 states/eV/f.u. The value obtained for the total energy is -36.6 eV/f.u. The calculation puts the uncorrected formation energy at -0.855 eV/atom.



Computed, not measured: a relaxed structure of CrCd2Re at the GGA-PBE level of DFT.

Unit cell a=3.101 b=4.835 c=9.335 alpha=90.00 beta=90.00 gamma=90.00
Space group Imm2 (No. 44)
One atom of each set of equivalent atoms:
Cr1 0.000 0.000 0.000 x2
Cd1 0.000 0.000 0.459 x2
Cd2 0.000 0.500 0.235 x2
Re1 0.000 0.500 0.684 x2

Properties
Its density of states at the Fermi level is 2.601 states/eV/f.u. Its energy above the most stable polymorph in this dataset is 242 meV/atom. For the formation energy, the calculation gives 534.8 meV per atom. The value obtained for the total energy is -21.8 eV/f.u.



Computed, not measured: a relaxed structure of ScRe2Ir at the GGA-PBE level of DFT.

Unit cell a=2.749 b=2.749 c=8.473 alpha=90.00 beta=90.00 gamma=90.00
Space group P4/mmm (No. 123)
One atom of each set of equivalent atoms:
Sc1 0.000 0.000 0.000 x1
Re1 0.500 0.500 0.271 x2
Ir1 0.000 0.000 0.500 x1

Properties
Its density of states at the Fermi level is 3.044 states/eV/f.u. Its energy above the most stable polymorph in this dataset is 130 meV/atom. For the formation energy, the calculation gives -19.0 meV per atom. The value obtained for the total energy is -40.2 eV/f.u.



Computed, not measured: a relaxed structure of LiHo2ZrSe4 at the GGA-PBE level of DFT.

Unit cell a=6.724 b=3.965 c=7.007 alpha=90.00 beta=109.14 gamma=90.00
Space group P2/m (No. 10)
One atom of each set of equivalent atoms:
Li1 0.000 0.000 0.000 x1
Ho1 0.500 0.000 0.500 x1
Ho2 0.500 0.500 0.000 x1
Zr1 0.000 0.500 0.500 x1
Se1 0.236 0.000 0.753 x2
Se2 0.236 0.500 0.243 x2

Properties
Its density of states at the Fermi level is 3.907 states/eV/f.u. The value obtained for the total energy is -45.9 eV/f.u. The calculation puts the uncorrected formation energy at -1.544 eV/atom.



Computed, not measured: a relaxed structure of PrYPt2 at the GGA-PBE level of DFT.

Unit cell a=4.1566 b=4.1566 c=20.3389 alpha=90.00 beta=90.00 gamma=120.00
Space group R-3m (No. 166, hexagonal axes)
One atom of each set of equivalent atoms:
Pr1 0.0000 0.0000 0.0000 x3
Y1 0.0000 0.0000 0.5000 x3
Pt1 0.0000 0.0000 0.2458 x6

Properties
Its density of states at the Fermi level is 2.358 states/eV/f.u. Its energy above the most stable polymorph in this dataset is 115 meV/atom. For the formation energy, the calculation gives -1062.8 meV per atom. The value obtained for the total energy is -27.6 eV/f.u.



Computed, not measured: a relaxed structure of TiSnOs2 at the GGA-PBE level of DFT.

Unit cell a=4.032 b=4.103 c=7.859 alpha=90.00 beta=90.00 gamma=90.00
Space group Pmm2 (No. 25)
One atom of each set of equivalent atoms:
Ti1 0.000 0.000 0.000 x1
Ti2 0.000 0.000 0.456 x1
Sn1 0.000 0.500 0.752 x1
Sn2 0.500 0.500 0.454 x1
Os1 0.000 0.500 0.219 x1
Os2 0.500 0.000 0.209 x1
Os3 0.500 0.000 0.694 x1
Os4 0.500 0.500 0.989 x1

Properties
Its density of states at the Fermi level is 3.127 states/eV/f.u. For the formation energy, the calculation gives -94.2 meV per atom. The value obtained for the total energy is -34.7 eV/f.u.



Computed, not measured: a relaxed structure of Sc3In2Rh at the GGA-PBE level of DFT.

Unit cell a=4.844 b=14.641 c=6.995 alpha=90.00 beta=90.00 gamma=90.00
Space group Cmmm (No. 65)
One atom of each set of equivalent atoms:
Sc1 0.000 0.000 0.238 x4
Sc2 0.000 0.325 0.220 x8
In1 0.000 0.165 0.500 x4
In2 0.000 0.500 0.000 x2
In3 0.000 0.500 0.500 x2
Rh1 0.000 0.150 0.000 x4

Properties
Its density of states at the Fermi level is 3.539 states/eV/f.u. For the formation energy, the calculation gives -595.7 meV per atom. The value obtained for the total energy is -35.4 eV/f.u.



Computed, not measured: a relaxed structure of Sm2YHo at the GGA-PBE level of DFT.

Unit cell a=3.5906 b=3.5906 c=34.9752 alpha=90.00 beta=90.00 gamma=120.00
Space group R-3m (No. 166, hexagonal axes)
One atom of each set of equivalent atoms:
Sm1 0.0000 0.0000 0.2495 x6
Y1 0.0000 0.0000 0.0000 x3
Ho1 0.0000 0.0000 0.5000 x3

Properties
Its density of states at the Fermi level is 4.948 states/eV/f.u. Its energy above the most stable polymorph in this dataset is 0 meV/atom. For the formation energy, the calculation gives 14.5 meV per atom. The value obtained for the total energy is -20.4 eV/f.u.



Computed, not measured: a relaxed structure of CaZr2AlB at the GGA-PBE level of DFT.

Unit cell a=4.824 b=4.824 c=4.358 alpha=90.00 beta=90.00 gamma=90.00
Space group P4/mmm (No. 123)
One atom of each set of equivalent atoms:
Ca1 0.000 0.000 0.000 x1
Zr1 0.000 0.500 0.500 x2
Al1 0.500 0.500 0.000 x1
B1 0.500 0.500 0.500 x1

Properties
Its density of states at the Fermi level is 5.227 states/eV/f.u. For the formation energy, the calculation gives 43.3 meV per atom. The value obtained for the total energy is -29.3 eV/f.u.



Computed, not measured: a relaxed structure of NbGa at the GGA-PBE level of DFT.

Unit cell a=5.167 b=5.263 c=9.942 alpha=90.00 beta=90.00 gamma=90.00
Space group P2_12_12_1 (No. 19)
One atom of each set of equivalent atoms:
Nb1 0.120 0.134 0.302 x4
Nb2 0.148 0.611 0.524 x4
Ga1 0.132 0.373 0.779 x4
Ga2 0.196 0.109 0.565 x4

Properties
Its density of states at the Fermi level is 0.864 states/eV/f.u. For the formation energy, the calculation gives -278.4 meV per atom. The value obtained for the total energy is -13.7 eV/f.u.



Computed, not measured: a relaxed structure of Zn3Sb2 at the GGA-PBE level of DFT.

Unit cell a=4.0967 b=4.0967 c=22.5772 alpha=90.00 beta=90.00 gamma=120.00
Space group R-3m (No. 166, hexagonal axes)
One atom of each set of equivalent atoms:
Zn1 0.0000 0.0000 0.0000 x3
Zn2 0.0000 0.0000 0.1955 x6
Sb1 0.0000 0.0000 0.4049 x6

Properties
Its density of states at the Fermi level is 1.936 states/eV/f.u. The value obtained for the total energy is -11.4 eV/f.u. The calculation puts the uncorrected formation energy at 0.128 eV/atom.



Computed, not measured: a relaxed structure of Tl2ZnCuSb2 at the GGA-PBE level of DFT.

Unit cell a=6.008 b=17.371 c=6.065 alpha=90.00 beta=90.00 gamma=90.00
Space group Ibam (No. 72)
One atom of each set of equivalent atoms:
Tl1 0.232 0.183 0.000 x8
Zn1 0.000 0.000 0.250 x4
Cu1 0.000 0.500 0.250 x4
Sb1 0.232 0.402 0.000 x8

Properties
Its density of states at the Fermi level is 1.806 states/eV/f.u. The value obtained for the total energy is -18.3 eV/f.u. The calculation puts the uncorrected formation energy at 0.013 eV/atom.



Computed, not measured: a relaxed structure of LaRe2N7 at the GGA-PBE level of DFT.

Unit cell a=6.378 b=9.831 c=3.843 alpha=90.00 beta=90.00 gamma=90.00
Space group Cmmm (No. 65)
One atom of each set of equivalent atoms:
La1 0.000 0.000 0.000 x2
Re1 0.000 0.301 0.500 x4
N1 0.000 0.277 0.000 x4
N2 0.000 0.500 0.500 x2
N3 0.204 0.131 0.500 x8

Properties
Its density of states at the Fermi level is 4.425 states/eV/f.u. The value obtained for the total energy is -83.5 eV/f.u. The calculation puts the uncorrected formation energy at 0.461 eV/atom.